Entry 1:
Density functional theory data (GGA-PBE) for crystalline Ta2CoPb at its relaxed geometry.

Unit cell a=3.1294 b=3.1294 c=26.6413 alpha=90.00 beta=90.00 gamma=120.00
Last column: nearest neighbours and their distance in Å.
Sites, in units of the cell vectors:
1 Ta 0.0000 0.0000 0.0000  9 Ta 2.94-3.13, 3 Pb 3.16
2 Ta 0.0000 0.0000 0.2463  3 Co 2.47
3 Ta 0.3333 0.6667 0.6667  9 Ta 2.94-3.13, 3 Pb 3.16
4 Ta 0.3333 0.6667 0.9130  3 Co 2.47
5 Ta 0.6667 0.3333 0.3333  9 Ta 2.94-3.13, 3 Pb 3.16
6 Ta 0.6667 0.3333 0.5797  3 Co 2.47
7 Co 0.0000 0.0000 0.5164  3 Ta 2.47
8 Co 0.3333 0.6667 0.1831  3 Ta 2.47
9 Co 0.6667 0.3333 0.8497  3 Ta 2.47
10 Pb 0.0000 0.0000 0.7639  3 Co 2.92, 6 Pb 3.13, 3 Ta 3.16
11 Pb 0.3333 0.6667 0.4305  3 Co 2.92, 6 Pb 3.13, 3 Ta 3.16
12 Pb 0.6667 0.3333 0.0972  3 Co 2.92, 6 Pb 3.13, 3 Ta 3.16

## Properties
SG   R3m
Spin magnetization   0.00 Bohr magnetons per cell
Energy of formation from the pure elements   396 meV per atom



Entry 2:
Density functional theory data (GGA-PBE) for crystalline BeAlAs2 at its relaxed geometry.

Unit cell a=2.7501 b=2.7501 c=8.8738 alpha=90.00 beta=90.00 gamma=90.00
Last column: nearest neighbours and their distance in Å.
Sites, in units of the cell vectors:
1 Be 0.0000 0.0000 0.0000  4 Al 2.57, 4 As 2.60, 4 Be 2.75
2 Al 0.5000 0.5000 0.1897  4 Be 2.57, 4 Al 2.75
3 As 0.0000 0.0000 0.4418  4 As 2.75, 4 Al 2.96
4 As 0.5000 0.5000 0.8055  4 Be 2.60, 4 As 2.75

## Properties
Energy above the lowest structure with this stoichiometry   0.4390 eV/atom
SG   P4mm
Spin magnetization   0.00 Bohr magnetons per cell
Energy of formation from the pure elements   270 meV per atom



Entry 3:
Density functional theory data (GGA-PBE) for crystalline ZnCoSb at its relaxed geometry.

Unit cell a=8.2843 b=4.1648 c=5.9291 alpha=90.00 beta=90.00 gamma=90.00
Last column: nearest neighbours and their distance in Å.
Sites, in units of the cell vectors:
1 Zn 0.1294 0.2500 0.2392  4 Co 2.50-2.63
2 Zn 0.3706 0.7500 0.7392  4 Co 2.50-2.63
3 Zn 0.6294 0.2500 0.2608  4 Co 2.50-2.63
4 Zn 0.8706 0.7500 0.7608  4 Co 2.50-2.63
5 Co 0.1119 0.7500 0.5080  4 Zn 2.50-2.63, 4 Sb 2.57-2.58, 2 Co 2.79
6 Co 0.3881 0.2500 0.0080  4 Zn 2.50-2.63, 4 Sb 2.57-2.58, 2 Co 2.79
7 Co 0.6119 0.7500 0.9920  4 Zn 2.50-2.63, 4 Sb 2.57-2.58, 2 Co 2.79
8 Co 0.8881 0.2500 0.4920  4 Zn 2.50-2.63, 4 Sb 2.57-2.58, 2 Co 2.79
9 Sb 0.1311 0.2500 0.7618  4 Co 2.57-2.58, 3 Zn 2.83-2.88
10 Sb 0.3689 0.7500 0.2618  4 Co 2.57-2.58, 3 Zn 2.83-2.88
11 Sb 0.6311 0.2500 0.7382  4 Co 2.57-2.58, 3 Zn 2.83-2.88
12 Sb 0.8689 0.7500 0.2382  4 Co 2.57-2.58, 3 Zn 2.83-2.88

## Properties
SG   Pnma
Spin magnetization   0.00 Bohr magnetons per cell
Formation energy without anion corrections   -0.08 eV per atom



Entry 4:
Density functional theory data (GGA-PBE) for crystalline La2ErP at its relaxed geometry.

Unit cell a=3.8815 b=3.8815 c=31.3188 alpha=90.00 beta=90.00 gamma=120.00
Last column: nearest neighbours and their distance in Å.
Sites, in units of the cell vectors:
1 La 0.0000 0.0000 0.1108  3 P 2.84
2 La 0.0000 0.0000 0.8892  3 P 2.84
3 La 0.3333 0.6667 0.5559  3 P 2.84
4 La 0.3333 0.6667 0.7774  3 P 2.84
5 La 0.6667 0.3333 0.2226  3 P 2.84
6 La 0.6667 0.3333 0.4441  3 P 2.84
7 Er 0.0000 0.0000 0.0000  2 La 3.47, 6 Er 3.88
8 Er 0.3333 0.6667 0.6667  2 La 3.47, 6 Er 3.88
9 Er 0.6667 0.3333 0.3333  2 La 3.47, 6 Er 3.88
10 P 0.0000 0.0000 0.5000  6 La 2.84
11 P 0.3333 0.6667 0.1667  6 La 2.84
12 P 0.6667 0.3333 0.8333  6 La 2.84

## Properties
SG   R-3m
Spin magnetization   0.00 Bohr magnetons per cell
Energy of formation from the pure elements   -477 meV per atom



Entry 5:
Density functional theory data (GGA-PBE) for crystalline Cs3RbCr2Cl9 at its relaxed geometry.

Unit cell a=7.3713 b=7.3713 c=9.9595 alpha=90.00 beta=90.00 gamma=120.00
Last column: nearest neighbours and their distance in Å.
Sites, in units of the cell vectors:
1 Cs 0.0000 0.0000 0.0000  12 Cl 3.63-3.69
2 Cs 0.3333 0.6667 0.7065  9 Cl 3.62-3.69
3 Cs 0.6667 0.3333 0.2935  9 Cl 3.62-3.69
4 Rb 0.0000 0.0000 0.5000  6 Cl 3.17
5 Cr 0.3333 0.6667 0.1475  6 Cl 2.37-2.59
6 Cr 0.6667 0.3333 0.8525  6 Cl 2.37-2.59
7 Cl 0.0000 0.5000 0.0000  2 Cr 2.59
8 Cl 0.1804 0.3607 0.2815  1 Cr 2.37
9 Cl 0.1804 0.8196 0.2815  1 Cr 2.37
10 Cl 0.3607 0.1804 0.7185  1 Cr 2.37
11 Cl 0.5000 0.0000 0.0000  2 Cr 2.59
12 Cl 0.5000 0.5000 0.0000  2 Cr 2.59
13 Cl 0.6393 0.8196 0.2815  1 Cr 2.37
14 Cl 0.8196 0.1804 0.7185  1 Cr 2.37
15 Cl 0.8196 0.6393 0.7185  1 Cr 2.37

## Properties
SG   P-3m1
Spin magnetization   7.00 Bohr magnetons per cell
Formation energy without anion corrections   -1.55 eV per atom



Entry 6:
Density functional theory data (GGA-PBE) for crystalline NdTl2S4 at its relaxed geometry.

Unit cell a=7.3145 b=7.3145 c=12.8046 alpha=90.00 beta=90.00 gamma=147.03
Last column: nearest neighbours and their distance in Å.
Sites, in units of the cell vectors:
1 Nd 0.0733 0.9267 0.7500  6 S 2.79-2.94
2 Nd 0.9267 0.0733 0.2500  6 S 2.79-2.94
3 Tl 0.3650 0.6350 0.5551  4 S 2.71-2.98
4 Tl 0.3650 0.6350 0.9449  4 S 2.71-2.98
5 Tl 0.6350 0.3650 0.0551  4 S 2.71-2.98
6 Tl 0.6350 0.3650 0.4449  4 S 2.71-2.98
7 S 0.0000 0.0000 0.0000  4 Tl 2.90
8 S 0.0000 0.0000 0.5000  4 Tl 2.90
9 S 0.2997 0.7003 0.1666  1 S 2.14
10 S 0.2997 0.7003 0.3334  1 S 2.14
11 S 0.4402 0.5598 0.7500  2 Tl 2.71, 2 Nd 2.79
12 S 0.5598 0.4402 0.2500  2 Tl 2.71, 2 Nd 2.79
13 S 0.7003 0.2997 0.6666  1 S 2.14
14 S 0.7003 0.2997 0.8334  1 S 2.14

## Properties
SG   Cmcm
Spin magnetization   0.00 Bohr magnetons per cell
Formation energy without anion corrections   -0.79 eV per atom



Entry 7:
Density functional theory data (GGA-PBE) for crystalline Pa2ZnPd at its relaxed geometry.

Unit cell a=3.0785 b=3.0785 c=31.4963 alpha=90.00 beta=90.00 gamma=120.00
Last column: nearest neighbours and their distance in Å.
Sites, in units of the cell vectors:
1 Pa 0.0000 0.0000 0.0856  1 Pd 2.70
2 Pa 0.0000 0.0000 0.9144  1 Pd 2.70
3 Pa 0.3333 0.6667 0.5811  1 Pd 2.70
4 Pa 0.3333 0.6667 0.7523  1 Pd 2.70
5 Pa 0.6667 0.3333 0.2477  1 Pd 2.70
6 Pa 0.6667 0.3333 0.4189  1 Pd 2.70
7 Zn 0.0000 0.0000 0.5000  6 Zn 3.08, 6 Pa 3.11
8 Zn 0.3333 0.6667 0.1667  6 Zn 3.08, 6 Pa 3.11
9 Zn 0.6667 0.3333 0.8333  6 Zn 3.08, 6 Pa 3.11
10 Pd 0.0000 0.0000 0.0000  2 Pa 2.70
11 Pd 0.3333 0.6667 0.6667  2 Pa 2.70
12 Pd 0.6667 0.3333 0.3333  2 Pa 2.70

## Properties
Energy above the lowest structure with this stoichiometry   0.2950 eV/atom
SG   R-3m
Spin magnetization   0.00 Bohr magnetons per cell
Energy of formation from the pure elements   71 meV per atom



Entry 8:
Density functional theory data (GGA-PBE) for crystalline LiCaTmGe at its relaxed geometry.

Unit cell a=7.1531 b=7.1531 c=7.1531 alpha=90.00 beta=90.00 gamma=90.00
Last column: nearest neighbours and their distance in Å.
Sites, in units of the cell vectors:
1 Li 0.0000 0.0000 0.0000  4 Tm 3.10, 4 Ca 3.10
2 Li 0.0000 0.5000 0.5000  4 Tm 3.10, 4 Ca 3.10
3 Li 0.5000 0.0000 0.5000  4 Tm 3.10, 4 Ca 3.10
4 Li 0.5000 0.5000 0.0000  4 Tm 3.10, 4 Ca 3.10
5 Ca 0.2500 0.2500 0.2500  4 Ge 3.10, 4 Li 3.10
6 Ca 0.2500 0.7500 0.7500  4 Ge 3.10, 4 Li 3.10
7 Ca 0.7500 0.2500 0.7500  4 Ge 3.10, 4 Li 3.10
8 Ca 0.7500 0.7500 0.2500  4 Ge 3.10, 4 Li 3.10
9 Tm 0.2500 0.2500 0.7500  4 Ge 3.10, 4 Li 3.10
10 Tm 0.2500 0.7500 0.2500  4 Ge 3.10, 4 Li 3.10
11 Tm 0.7500 0.2500 0.2500  4 Ge 3.10, 4 Li 3.10
12 Tm 0.7500 0.7500 0.7500  4 Ge 3.10, 4 Li 3.10
13 Ge 0.0000 0.0000 0.5000  4 Ca 3.10, 4 Tm 3.10
14 Ge 0.0000 0.5000 0.0000  4 Ca 3.10, 4 Tm 3.10
15 Ge 0.5000 0.0000 0.0000  4 Ca 3.10, 4 Tm 3.10
16 Ge 0.5000 0.5000 0.5000  4 Ca 3.10, 4 Tm 3.10

## Properties
SG   F-43m
Spin magnetization   0.00 Bohr magnetons per cell
Energy of formation from the pure elements   -346 meV per atom



Entry 9:
Density functional theory data (GGA-PBE) for crystalline PrTm2Al at its relaxed geometry.

Unit cell a=3.5598 b=3.5598 c=31.5603 alpha=90.00 beta=90.00 gamma=120.00
Last column: nearest neighbours and their distance in Å.
Sites, in units of the cell vectors:
1 Pr 0.0000 0.0000 0.0000  6 Pr 3.56, 6 Tm 3.64-3.67
2 Pr 0.3333 0.6667 0.6667  6 Pr 3.56, 6 Tm 3.64-3.67
3 Pr 0.6667 0.3333 0.3333  6 Pr 3.56, 6 Tm 3.64-3.67
4 Tm 0.0000 0.0000 0.2380  3 Al 3.03
5 Tm 0.0000 0.0000 0.4296  3 Al 3.05
6 Tm 0.3333 0.6667 0.0962  3 Al 3.05
7 Tm 0.3333 0.6667 0.9046  3 Al 3.03
8 Tm 0.6667 0.3333 0.5713  3 Al 3.03
9 Tm 0.6667 0.3333 0.7629  3 Al 3.05
10 Al 0.0000 0.0000 0.8341  6 Tm 3.03-3.05
11 Al 0.3333 0.6667 0.5008  6 Tm 3.03-3.05
12 Al 0.6667 0.3333 0.1674  6 Tm 3.03-3.05

## Properties
Energy above the lowest structure with this stoichiometry   0.1336 eV/atom
SG   R3m
Spin magnetization   0.00 Bohr magnetons per cell
Energy of formation from the pure elements   -66 meV per atom



Entry 10:
Density functional theory data (GGA-PBE) for crystalline TaAs2OsBr at its relaxed geometry.

Unit cell a=4.7220 b=4.7220 c=5.1689 alpha=90.00 beta=90.00 gamma=90.00
Last column: nearest neighbours and their distance in Å.
Sites, in units of the cell vectors:
1 Ta 0.0000 0.0000 0.0000  4 Br 3.34, 8 As 3.50
2 As 0.0000 0.5000 0.5000  2 Os 2.36
3 As 0.5000 0.0000 0.5000  2 Os 2.36
4 Os 0.5000 0.5000 0.5000  4 As 2.36, 2 Br 2.58
5 Br 0.5000 0.5000 0.0000  2 Os 2.58

## Properties
Energy above the lowest structure with this stoichiometry   0.0000 eV/atom
SG   P4/mmm
Spin magnetization   2.99 Bohr magnetons per cell
Formation energy without anion corrections   1.28 eV per atom



Entry 11:
Density functional theory data (GGA-PBE) for crystalline Sr3CaCu at its relaxed geometry.

Unit cell a=6.0642 b=6.0642 c=6.0642 alpha=90.00 beta=90.00 gamma=90.00
Last column: nearest neighbours and their distance in Å.
Sites, in units of the cell vectors:
1 Sr 0.0000 0.0000 0.5000  2 Cu 3.03
2 Sr 0.0000 0.5000 0.0000  2 Cu 3.03
3 Sr 0.5000 0.0000 0.0000  2 Cu 3.03
4 Ca 0.5000 0.5000 0.5000  12 Sr 4.29
5 Cu 0.0000 0.0000 0.0000  6 Sr 3.03

## Properties
Energy above the lowest structure with this stoichiometry   0.0153 eV/atom
SG   Pm-3m
Spin magnetization   0.00 Bohr magnetons per cell
Energy of formation from the pure elements   11 meV per atom



Entry 12:
Density functional theory data (GGA-PBE) for crystalline CeZnSnPt3 at its relaxed geometry.

Unit cell a=6.6569 b=6.6569 c=7.4482 alpha=90.00 beta=90.00 gamma=129.85
Last column: nearest neighbours and their distance in Å.
Sites, in units of the cell vectors:
1 Ce 0.1641 0.8359 0.7500  6 Pt 2.82-3.05, 1 Zn 3.13
2 Ce 0.8359 0.1641 0.2500  6 Pt 2.82-3.05, 1 Zn 3.13
3 Zn 0.4240 0.5760 0.7500  5 Pt 2.52-2.75
4 Zn 0.5760 0.4240 0.2500  5 Pt 2.52-2.75
5 Sn 0.1311 0.8689 0.2500  5 Pt 2.62-2.81, 2 Zn 2.90
6 Sn 0.8689 0.1311 0.7500  5 Pt 2.62-2.81, 2 Zn 2.90
7 Pt 0.2455 0.2455 0.0000  2 Zn 2.52, 1 Pt 2.77, 2 Sn 2.81
8 Pt 0.2455 0.2455 0.5000  2 Zn 2.52, 1 Pt 2.77, 2 Sn 2.81
9 Pt 0.3480 0.6520 0.2500  1 Sn 2.62, 1 Zn 2.75, 2 Ce 2.82
10 Pt 0.6520 0.3480 0.7500  1 Sn 2.62, 1 Zn 2.75, 2 Ce 2.82
11 Pt 0.7545 0.7545 0.0000  2 Zn 2.52, 1 Pt 2.77, 2 Sn 2.81
12 Pt 0.7545 0.7545 0.5000  2 Zn 2.52, 1 Pt 2.77, 2 Sn 2.81

## Properties
SG   Cmcm
Spin magnetization   1.01 Bohr magnetons per cell
Energy of formation from the pure elements   -607 meV per atom



Entry 13:
Density functional theory data (GGA-PBE) for crystalline AcSmHgAu at its relaxed geometry.

Unit cell a=3.8370 b=3.8370 c=7.7810 alpha=90.00 beta=90.00 gamma=90.00
Last column: nearest neighbours and their distance in Å.
Sites, in units of the cell vectors:
1 Ac 0.0000 0.0000 0.0000  4 Au 3.42, 4 Hg 3.49, 1 Sm 3.70
2 Sm 0.0000 0.0000 0.4761  4 Au 3.16, 4 Hg 3.30
3 Hg 0.5000 0.5000 0.7171  4 Sm 3.30, 1 Au 3.49, 4 Ac 3.49
4 Au 0.5000 0.5000 0.2681  4 Sm 3.16, 4 Ac 3.42, 1 Hg 3.49

## Properties
Energy above the lowest structure with this stoichiometry   0.0000 eV/atom
SG   P4mm
Spin magnetization   0.00 Bohr magnetons per cell
Energy of formation from the pure elements   -622 meV per atom